A plane-wave DFT calculation with PBE was carried out for crystalline Gd2BeGa at its relaxed geometry.

It has space group Fm-3m (No. 225), with a = 7.074 Å, b = 7.074 Å, c = 7.074 Å, α = 90.00°, β = 90.00° and γ = 90.00°. The inequivalent atoms are Gd at (0.250, 0.250, 0.250), Be at (0.000, 0.000, 0.000) and Ga at (0.000, 0.000, 0.500).

The calculation puts the distance to the lowest polymorph of the same formula at 0.03 eV per formula unit. The calculation puts the formation energy at -0.231 eV/atom.